DFT (PBE-GGA) results for an optimized crystal structure of BaSiGePt3.

Properties
Magnetic moment (Bohr magnetons per cell): 0.000
Formation energy from raw total energies (meV/atom): -746.0

Geometry as CIF:
```
data_BaSiGePt3
_cell_length_a 6.2815
_cell_length_b 6.3523
_cell_length_c 7.5900
_cell_angle_alpha 114.74
_cell_angle_beta 90.00
_cell_angle_gamma 90.00
_space_group_name_H-M_alt 'P 1'
_space_group_IT_number 1
_space_group_name_Hall 'P 1'
loop_
_atom_site_label
_atom_site_fract_x
_atom_site_fract_y
_atom_site_fract_z
_atom_site_occupancy
Ba1 0.7500 0.2416 0.4832 1
Ba2 0.2500 0.7584 0.5168 1
Si1 0.2500 0.0740 0.1479 1
Si2 0.7500 0.9260 0.8521 1
Ge1 0.2500 0.4206 0.8413 1
Ge2 0.7500 0.5794 0.1587 1
Pt1 0.2500 0.2429 0.4859 1
Pt2 0.0000 0.2395 0.0000 1
Pt3 0.5000 0.7605 0.0000 1
Pt4 0.5000 0.2395 0.0000 1
Pt5 0.0000 0.7605 0.0000 1
Pt6 0.7500 0.7571 0.5141 1
```